No. 1
This record from OQMD via LeMat-Bulk describes crystalline RbMgNpTe3 at its relaxed geometry. The functional is PBE.

Output
- raw total energy (eV per atom) = -5.02

Cell: 4.6087 16.3881 12.0541 Å, 90.00 90.00 90.00°
With the nearest neighbours (Å) after each atom.
Space group Cmcm (No. 63)
Unique sites:
Rb: 0.0000 0.2461 0.2500 (multiplicity 4)  8 Te 3.76-4.18
Mg: 0.0000 0.0365 0.7500 (multiplicity 4)  4 Te 2.76-2.84
Np: 0.0000 0.5000 0.0000 (multiplicity 4)  6 Te 3.17-3.20
Te: 0.0000 0.1264 0.5560 (multiplicity 8)  1 Mg 2.76
Te: 0.0000 0.4351 0.7500 (multiplicity 4)  2 Mg 2.84

***

No. 2
This record from OQMD via LeMat-Bulk describes crystalline ReGeAs at its relaxed geometry. The functional is PBE.

Output
- raw total energy (eV per atom) = -6.85

Cell: 6.6438 3.2860 8.7650 Å, 90.00 90.00 90.00°
With the nearest neighbours (Å) after each atom.
Space group Pnma (No. 62)
Unique sites:
Re: 0.1228 0.2500 0.2462 (multiplicity 4)  4 As 2.68-2.70, 5 Ge 2.72-2.91
Ge: 0.1257 0.2500 0.9143 (multiplicity 4)  5 Re 2.72-2.91, 3 As 2.77-2.83, 2 Ge 2.78
As: 0.1264 0.2500 0.5982 (multiplicity 4)  4 Re 2.68-2.70, 3 Ge 2.77-2.83, 2 As 2.91

***

No. 3
This record from OQMD via LeMat-Bulk describes crystalline LaInCu2Sn at its relaxed geometry. The functional is PBE.

Output
- raw total energy (eV per atom) = -4.25

Cell: 4.4750 4.4750 10.7889 Å, 90.00 90.00 90.00°
With the nearest neighbours (Å) after each atom.
Space group P4/nmm (No. 129, origin choice 2)
Unique sites:
La: 0.2500 0.2500 0.2371 (multiplicity 2)  4 Sn 3.38, 8 Cu 3.40-3.44, 4 In 3.61
In: 0.2500 0.7500 0.5000 (multiplicity 2)  4 Cu 2.68
Cu: 0.2500 0.2500 0.6367 (multiplicity 2)  1 Sn 2.54, 4 In 2.68
Cu: 0.2500 0.7500 0.0000 (multiplicity 2)  4 Sn 2.63
Sn: 0.2500 0.2500 0.8724 (multiplicity 2)  5 Cu 2.54-2.63

***

No. 4
This record from OQMD via LeMat-Bulk describes crystalline Cu2SbAs at its relaxed geometry. The functional is PBE.

Output
- raw total energy (eV per atom) = -3.77

Cell: 6.5298 6.5298 6.5298 Å, 90.00 90.00 90.00°
With the nearest neighbours (Å) after each atom.
Space group Pm-3m (No. 221)
Unique sites:
Cu: 0.2249 0.2249 0.2249 (multiplicity 8)  4 As 2.54-2.75
Sb: 0.0000 0.5000 0.5000 (multiplicity 3)  8 Cu 2.93, 4 As 3.26, 2 Sb 3.26
Sb: 0.5000 0.5000 0.5000 (multiplicity 1)  8 Cu 3.11, 6 Sb 3.26
As: 0.0000 0.0000 0.0000 (multiplicity 1)  8 Cu 2.54
As: 0.0000 0.0000 0.5000 (multiplicity 3)  8 Cu 2.75

***

No. 5
This record from OQMD via LeMat-Bulk describes crystalline LaNpAl at its relaxed geometry. The functional is PBE.

Output
- raw total energy (eV per atom) = -6.68

Cell: 7.2214 7.2214 7.2214 Å, 90.00 90.00 90.00°
With the nearest neighbours (Å) after each atom.
Space group F-43m (No. 216)
Unique sites:
La: 0.0000 0.0000 0.0000 (multiplicity 4)  4 Al 3.13
Np: 0.0000 0.0000 0.5000 (multiplicity 4)  4 Al 3.13
Al: 0.2500 0.2500 0.2500 (multiplicity 4)  4 La 3.13, 4 Np 3.13

***

No. 6
This record from OQMD via LeMat-Bulk describes crystalline Pa2BeSi3 at its relaxed geometry. The functional is PBE.

Output
- raw total energy (eV per atom) = -7.02

Cell: 3.8961 4.0742 6.7544 Å, 90.00 90.00 90.00°
With the nearest neighbours (Å) after each atom.
Space group Pmm2 (No. 25)
Unique sites:
Pa: 0.0000 0.0000 0.0000 (multiplicity 1)  2 Be 3.01, 10 Si 3.03-3.13
Pa: 0.5000 0.0000 0.4978 (multiplicity 1)  8 Si 2.96-3.04, 4 Be 3.05
Be: 0.0000 0.5000 0.6714 (multiplicity 1)  3 Si 2.16-2.18
Si: 0.0000 0.5000 0.3515 (multiplicity 1)  1 Be 2.16, 2 Si 2.33
Si: 0.5000 0.5000 0.1630 (multiplicity 1)  3 Si 2.33-2.34
Si: 0.5000 0.5000 0.8161 (multiplicity 1)  2 Be 2.18, 1 Si 2.34

***

No. 7
This record from OQMD via LeMat-Bulk describes crystalline LaNiSnAsPd at its relaxed geometry. The functional is PBE.

Output
- raw total energy (eV per atom) = -5.71

Cell: 4.4826 4.4826 10.0334 Å, 90.00 90.00 90.00°
With the nearest neighbours (Å) after each atom.
Space group P4/nmm (No. 129, origin choice 2)
Unique sites:
La: 0.2500 0.2500 0.2277 (multiplicity 2)  4 As 3.20, 5 Ni 3.23-3.44, 4 Sn 3.40, 4 Pd 3.53
Ni: 0.2500 0.2500 0.9059 (multiplicity 2)  4 As 2.43, 1 Sn 2.57
Sn: 0.2500 0.2500 0.6494 (multiplicity 2)  1 Ni 2.57, 4 Pd 2.70
As: 0.2500 0.7500 0.0000 (multiplicity 2)  4 Ni 2.43
Pd: 0.2500 0.7500 0.5000 (multiplicity 2)  4 Sn 2.70

***

No. 8
This record from OQMD via LeMat-Bulk describes crystalline DyErTl at its relaxed geometry. The functional is PBE.

Output
- raw total energy (eV per atom) = -3.88

Cell: 7.2648 7.2648 7.2648 Å, 90.00 90.00 90.00°
With the nearest neighbours (Å) after each atom.
Space group F-43m (No. 216)
Unique sites:
Dy: 0.0000 0.0000 0.0000 (multiplicity 4)  4 Tl 3.15
Er: 0.0000 0.0000 0.5000 (multiplicity 4)  4 Tl 3.15
Tl: 0.2500 0.2500 0.2500 (multiplicity 4)  4 Dy 3.15, 4 Er 3.15

***

No. 9
This record from OQMD via LeMat-Bulk describes crystalline KPuCuSeS2 at its relaxed geometry. The functional is PBE.

Output
- raw total energy (eV per atom) = -6.32

Cell: 8.3783 3.9919 9.5940 Å, 90.00 108.11 90.00°
With the nearest neighbours (Å) after each atom.
Space group P2_1/m (No. 11)
Unique sites:
K: 0.2198 0.2500 0.2525 (multiplicity 2)  4 S 3.23-3.25, 2 Se 3.39
Pu: 0.3178 0.7500 0.8483 (multiplicity 2)  5 S 2.68-2.72, 1 Se 2.82
Cu: 0.0790 0.2500 0.5953 (multiplicity 2)  1 S 2.34, 3 Se 2.48-2.49
Se: 0.2266 0.7500 0.5398 (multiplicity 2)  3 Cu 2.48-2.49
S: 0.1028 0.2500 0.8446 (multiplicity 2)  1 Cu 2.34
S: 0.4584 0.7500 0.1425 (multiplicity 2)  3 Pu 2.70-2.72

***

No. 10
This record from OQMD via LeMat-Bulk describes crystalline NaCuP2Ir at its relaxed geometry. The functional is PBE.

Output
- raw total energy (eV per atom) = -5.27

Cell: 3.9998 3.9998 9.5604 Å, 90.00 90.00 90.00°
With the nearest neighbours (Å) after each atom.
Space group I-4m2 (No. 119)
Unique sites:
Na: 0.0000 0.0000 0.0000 (multiplicity 2)  8 P 3.04, 4 Ir 3.12, 4 Cu 3.12
Cu: 0.0000 0.5000 0.2500 (multiplicity 2)  4 P 2.37
P: 0.0000 0.0000 0.3830 (multiplicity 4)  1 P 2.24, 2 Cu 2.37, 2 Ir 2.37
Ir: 0.0000 0.5000 0.7500 (multiplicity 2)  4 P 2.37

***

No. 11
This record from OQMD via LeMat-Bulk describes crystalline ErAlPdAu at its relaxed geometry. The functional is PBE.

Output
- raw total energy (eV per atom) = -5.06

Cell: 4.4302 4.4302 9.0526 Å, 90.00 90.00 120.00°
With the nearest neighbours (Å) after each atom.
Space group P-6m2 (No. 187)
Unique sites:
Er: 0.0000 0.0000 0.0000 (multiplicity 1)  6 Au 2.97, 2 Pd 3.00
Er: 0.3333 0.6667 0.5000 (multiplicity 1)  6 Pd 2.98, 2 Au 3.01, 6 Al 3.32
Al: 0.6667 0.3333 0.2668 (multiplicity 2)  3 Pd 2.62, 3 Au 2.71
Pd: 0.0000 0.0000 0.3315 (multiplicity 2)  3 Al 2.62
Au: 0.3333 0.6667 0.1670 (multiplicity 2)  3 Al 2.71, 3 Pd 2.96, 4 Er 2.97-3.01, 1 Au 3.02

***

No. 12
This record from OQMD via LeMat-Bulk describes crystalline Tm3Ta3Re2N12 at its relaxed geometry. The functional is PBE.

Output
- raw total energy (eV per atom) = -9.47

Cell: 12.6810 12.6810 12.6810 Å, 90.00 90.00 90.00°
With the nearest neighbours (Å) after each atom.
Space group Ia-3d (No. 230)
Unique sites:
Tm: 0.0000 0.2500 0.1250 (multiplicity 24)  8 N 2.46-2.51
Ta: 0.0000 0.2500 0.3750 (multiplicity 24)  4 N 1.93
Re: 0.0000 0.0000 0.0000 (multiplicity 16)  6 N 2.01
N: 0.0289 0.0553 0.6460 (multiplicity 96)  1 Ta 1.93, 1 Re 2.01